Material: RbMoO3
Method: DFT, PBE with a Hubbard U
State: optimized geometry

```
5
Lattice="4.0153 0.0000 0.0000 0.0000 4.0153 0.0000 0.0000 0.0000 4.0153" Properties=species:S:1:pos:R:3 pbc="T T T"
Rb 0.0000 0.0000 0.0000
Mo 2.0076 2.0076 2.0076
O 0.0000 2.0076 2.0076
O 2.0076 0.0000 2.0076
O 2.0076 2.0076 0.0000
```

Output
- Space-group type: Pm-3m, No. 221
- Size of the total moment: 0.200 μB/atom
- Final energy: -6.23 eV/atom